The following is a DFT calculation (PBE) of an optimized crystal structure of La4AsPtSe2.

Calculated values
Mass density: 7.09 g/cm3
E_tot: -6.33 eV per atom

Cell and atoms, written as CIF:
```
data_La4AsPtSe2
_cell_length_a 7.5453
_cell_length_b 4.2766
_cell_length_c 7.5582
_cell_angle_alpha 90.00
_cell_angle_beta 109.15
_cell_angle_gamma 90.00
_symmetry_space_group_name_H-M 'P 1 2/m 1'
_symmetry_Int_Tables_number 10
_symmetry_space_group_name_Hall '-P 2y'
loop_
_atom_site_label
_atom_site_type_symbol
_atom_site_fract_x
_atom_site_fract_y
_atom_site_fract_z
La1 La 0.2416 0.0000 0.2369
La2 La 0.2532 0.5000 0.7558
As1 As 0.5000 0.0000 0.0000
Pt1 Pt 0.0000 0.5000 0.0000
Se1 Se 0.0000 0.0000 0.5000
Se2 Se 0.5000 0.5000 0.5000
```